The following is a PBE+U calculation of a relaxed structure of VCoNi2O6, from Alexandria via LeMat-Bulk.

For the total energy, the calculation gives -5.776 eV/atom.

Cell lengths 5.265, 5.265, 4.695 Å; angles 90.00, 90.00, 90.00 degrees
Fractional positions:
1 V 0.000 0.000 0.000
2 Co 0.500 0.500 0.955
3 Ni 0.000 0.500 0.281
4 Ni 0.500 0.000 0.281
5 O 0.000 0.000 0.651
6 O 0.244 0.244 0.123
7 O 0.244 0.756 0.123
8 O 0.500 0.500 0.594
9 O 0.756 0.244 0.123
10 O 0.756 0.756 0.123